# 1
ScSb2Ru | PBE-GGA | relaxed

Geometry as POSCAR:
```
ScSb2Ru
1.0
-0.113 -7.330 -5.085
2.796 -5.987 -5.994
2.619 -7.881 -3.260
Sb Ru Sc
2 1 1
Direct
0.491 0.491 0.491
0.009 0.009 0.009
0.750 0.750 0.750
0.250 0.250 0.250
```



# 2
ScSb2Ru | PBE-GGA | relaxed

Geometry as POSCAR:
```
ScSb2Ru
1.0
4.140 -0.170 0.191
2.157 3.537 0.191
1.933 1.034 5.906
Sc Sb Ru
1 2 1
Direct
0.750 0.750 0.750
0.987 0.987 0.039
0.513 0.513 0.461
0.250 0.250 0.250
```



# 3
ScSb2Ru | PBE-GGA | relaxed

Geometry as POSCAR:
```
ScSb2Ru
1.0
-1.303 -2.398 3.400
4.050 -1.546 0.462
3.440 5.187 7.773
Sc Ru Sb
2 2 4
Direct
0.250 0.750 0.500
0.500 0.500 0.000
0.750 0.250 0.500
0.000 0.000 0.000
0.375 0.350 0.750
0.650 0.125 0.250
0.100 0.625 0.250
0.875 0.900 0.750
```



# 4
ScSb4Ru | PBE-GGA | relaxed

Geometry as POSCAR:
```
ScSb4Ru
1.0
0.000 4.268 4.268
4.268 0.000 4.268
4.268 4.268 0.000
Sb Ru Sc
4 1 1
Direct
0.375 0.375 0.375
0.876 0.375 0.375
0.375 0.876 0.375
0.375 0.375 0.876
0.000 0.000 0.000
0.750 0.750 0.750
```



# 5
ScSb2Ru | PBE-GGA | relaxed

Geometry as POSCAR:
```
ScSb2Ru
1.0
5.733 0.011 0.007
2.172 5.305 -0.007
-3.091 -3.939 2.792
Ru Sb Sc
1 2 1
Direct
0.750 0.250 0.500
0.971 0.971 0.000
0.529 0.529 0.000
0.250 0.750 0.500
```



# 6
Sc3SbRu | PBE-GGA | relaxed

Geometry as POSCAR:
```
Sc3SbRu
1.0
5.195 0.000 0.000
0.000 5.195 0.000
0.000 0.000 5.195
Sc Ru Sb
3 1 1
Direct
0.000 0.500 0.000
0.000 0.000 0.500
0.500 0.000 0.000
0.500 0.500 0.500
0.000 0.000 0.000
```

Computed properties:
ΔE to the lowest computed polymorph = 1066 meV/atom



# 7
Sc2SbRu2 | PBE-GGA | relaxed

Geometry as POSCAR:
```
Sc2SbRu2
1.0
-5.826 2.922 1.699
-2.723 -2.051 -5.809
-1.252 -3.570 1.848
Sc Ru Sb
4 4 2
Direct
0.823 0.323 0.500
0.677 0.823 0.500
0.177 0.677 0.500
0.323 0.177 0.500
0.629 0.129 0.000
0.871 0.629 0.000
0.129 0.371 0.000
0.371 0.871 0.000
0.500 0.500 0.000
0.000 0.000 0.000
```

Computed properties:
ΔE to the lowest computed polymorph = 0 meV/atom



# 8
ScSb2Ru | PBE-GGA | relaxed

Geometry as POSCAR:
```
ScSb2Ru
1.0
-5.190 -0.957 0.078
-3.927 -1.665 3.108
-2.431 4.139 1.981
Sc Ru Sb
1 1 2
Direct
0.522 0.522 0.535
0.244 0.244 0.168
0.976 0.976 0.069
0.758 0.758 0.727
```



# 9
ScSb2Ru | PBE-GGA | relaxed

Geometry as POSCAR:
```
ScSb2Ru
1.0
5.606 0.015 0.000
2.602 4.965 0.000
-4.104 -2.490 2.895
Sc Ru Sb
1 1 2
Direct
0.500 0.500 0.000
0.750 0.250 0.500
0.000 0.000 0.000
0.250 0.750 0.500
```



# 10
ScSb2Ru | PBE-GGA | relaxed

Geometry as POSCAR:
```
ScSb2Ru
1.0
-1.202 -3.664 2.917
-4.647 -1.194 0.593
-1.695 -4.124 -1.871
Sb Sc Ru
2 1 1
Direct
0.250 0.250 0.250
0.750 0.750 0.750
0.000 0.000 0.000
0.500 0.500 0.500
```



# 11
ScSb2Ru | PBE-GGA | relaxed

Geometry as POSCAR:
```
ScSb2Ru
1.0
-1.597 2.781 -0.708
-0.629 -1.341 -2.931
-6.243 -2.906 2.669
Ru Sc Sb
1 1 2
Direct
0.500 0.500 0.750
0.500 0.500 0.250
0.000 0.000 0.974
0.000 0.000 0.526
```



# 12
ScSb2Ru | PBE-GGA | relaxed

Geometry as POSCAR:
```
ScSb2Ru
1.0
-1.355 2.657 -3.879
-4.078 -1.148 -2.448
-3.922 2.912 0.278
Sc Sb Ru
1 2 1
Direct
0.750 0.750 0.750
0.250 0.250 0.250
0.000 0.000 0.000
0.500 0.500 0.500
```



# 13
Sc4SbRu | PBE-GGA | relaxed

Geometry as POSCAR:
```
Sc4SbRu
1.0
-3.837 -0.851 4.008
-1.896 4.326 3.033
-5.256 1.837 -0.712
Sc Sb Ru
4 1 1
Direct
0.871 0.376 0.376
0.376 0.376 0.871
0.376 0.376 0.376
0.376 0.871 0.376
0.000 0.000 0.000
0.750 0.750 0.750
```

Computed properties:
ΔE to the lowest computed polymorph = 820 meV/atom



# 14
Sc3SbRu | PBE-GGA | relaxed

Geometry as POSCAR:
```
Sc3SbRu
1.0
4.960 0.000 0.000
0.000 4.960 0.000
0.000 0.000 4.960
Sc Sb Ru
3 1 1
Direct
0.000 0.500 0.000
0.500 0.000 0.000
0.000 0.000 0.500
0.500 0.500 0.500
0.000 0.000 0.000
```

Computed properties:
ΔE to the lowest computed polymorph = 0 meV/atom



# 15
ScSb3Ru | PBE-GGA | relaxed

Geometry as POSCAR:
```
ScSb3Ru
1.0
-3.156 -0.411 4.045
0.929 -5.058 0.212
3.958 0.860 3.176
Sb Sc Ru
3 1 1
Direct
0.000 0.000 0.500
0.500 0.000 0.000
0.000 0.500 0.000
0.500 0.500 0.500
0.000 0.000 0.000
```

Computed properties:
ΔE to the lowest computed polymorph = 0 meV/atom



# 16
ScSb2Ru | PBE-GGA | relaxed

Geometry as POSCAR:
```
ScSb2Ru
1.0
-1.058 -0.959 2.884
2.914 0.548 1.251
-2.302 8.050 1.834
Sc Sb Ru
1 2 1
Direct
0.000 0.000 0.545
0.500 0.500 0.289
0.000 0.000 0.924
0.500 0.500 0.743
```



# 17
Sc4SbRu | PBE-GGA | relaxed

Geometry as POSCAR:
```
Sc4SbRu
1.0
4.787 0.000 -2.108
0.000 6.110 0.000
-0.318 0.000 8.871
Sc Sb Ru
8 2 2
Direct
0.622 0.250 0.842
0.417 0.750 0.558
0.065 0.509 0.750
0.583 0.250 0.442
0.065 0.991 0.750
0.935 0.009 0.250
0.378 0.750 0.158
0.935 0.491 0.250
0.702 0.750 0.926
0.298 0.250 0.074
0.167 0.250 0.539
0.833 0.750 0.461
```

Computed properties:
ΔE to the lowest computed polymorph = 0 meV/atom



# 18
Sr2ScSbRu | PBE-GGA | relaxed

Geometry as POSCAR:
```
Sr2ScSbRu
1.0
6.110 0.000 0.000
0.000 5.370 0.000
0.000 0.000 6.110
Ru Sc Sr Sb
1 1 2 1
Direct
0.500 0.500 0.500
0.000 0.500 0.000
0.000 0.000 0.500
0.500 0.000 0.000
0.000 0.000 0.000
```



# 19
ScSbTe2Ru | PBE-GGA | relaxed

Geometry as POSCAR:
```
ScSbTe2Ru
1.0
-5.156 0.812 1.324
-1.043 -5.211 -0.866
1.041 -0.983 4.658
Sc Te Ru Sb
1 2 1 1
Direct
0.500 0.500 0.500
0.000 0.500 0.000
0.500 0.000 0.000
0.000 0.000 0.000
0.000 0.000 0.500
```

Computed properties:
ΔE to the lowest computed polymorph = 0 meV/atom



# 20
ScSb2TeRu | PBE-GGA | relaxed

Geometry as POSCAR:
```
ScSb2TeRu
1.0
4.982 0.000 0.000
0.000 4.982 0.000
0.000 0.000 5.671
Sb Ru Sc Te
2 1 1 1
Direct
0.000 0.500 0.000
0.500 0.000 0.000
0.000 0.000 0.000
0.500 0.500 0.500
0.000 0.000 0.500
```

Computed properties:
ΔE to the lowest computed polymorph = 0 meV/atom



Number 1: DOS at the Fermi energy 5.56 states/eV/cell, uncorrected formation energy -0.105 eV per atom, calculated total energy -24.3 eV for the cell shown. Number 2: DOS at the Fermi energy 3.30 states/eV/cell, uncorrected formation energy -0.331 eV per atom, calculated total energy -25.2 eV for the cell shown. Number 3: DOS at the Fermi energy 6.50 states/eV/cell, uncorrected formation energy -0.028 eV per atom, calculated total energy -47.9 eV for the cell shown. Number 4: DOS at the Fermi energy 6.00 states/eV/cell, uncorrected formation energy 0.653 eV per atom, calculated total energy -28.2 eV for the cell shown. Number 5: DOS at the Fermi energy 3.09 states/eV/cell, uncorrected formation energy -0.147 eV per atom, calculated total energy -24.4 eV for the cell shown. Number 6: DOS at the Fermi energy 6.24 states/eV/cell, uncorrected formation energy 0.764 eV per atom, calculated total energy -28.6 eV for the cell shown. Number 7: DOS at the Fermi energy 10.50 states/eV/cell, uncorrected formation energy -0.431 eV per atom, calculated total energy -75.0 eV for the cell shown. Number 8: DOS at the Fermi energy 2.03 states/eV/cell, uncorrected formation energy -0.297 eV per atom, calculated total energy -25.0 eV for the cell shown. Number 9: DOS at the Fermi energy 2.49 states/eV/cell, uncorrected formation energy -0.208 eV per atom, calculated total energy -24.7 eV for the cell shown. Number 10: DOS at the Fermi energy 5.13 states/eV/cell, uncorrected formation energy -0.205 eV per atom, calculated total energy -24.7 eV for the cell shown. Number 11: DOS at the Fermi energy 1.59 states/eV/cell, uncorrected formation energy -0.265 eV per atom, calculated total energy -24.9 eV for the cell shown. Number 12: DOS at the Fermi energy 4.14 states/eV/cell, uncorrected formation energy -0.011 eV per atom, calculated total energy -23.9 eV for the cell shown. Number 13: DOS at the Fermi energy 8.12 states/eV/cell, uncorrected formation energy 0.232 eV per atom, calculated total energy -37.3 eV for the cell shown. Number 14: DOS at the Fermi energy 5.77 states/eV/cell, uncorrected formation energy -0.303 eV per atom, calculated total energy -33.9 eV for the cell shown. Number 15: DOS at the Fermi energy 5.93 states/eV/cell, uncorrected formation energy 0.339 eV per atom, calculated total energy -26.3 eV for the cell shown. Number 16: DOS at the Fermi energy 1.60 states/eV/cell, uncorrected formation energy -0.371 eV per atom, calculated total energy -25.3 eV for the cell shown. Number 17: DOS at the Fermi energy 10.78 states/eV/cell, uncorrected formation energy -0.588 eV per atom, calculated total energy -84.5 eV for the cell shown. Number 18: DOS at the Fermi energy 5.60 states/eV/cell, uncorrected formation energy 0.653 eV per atom, calculated total energy -19.8 eV for the cell shown. Number 19: DOS at the Fermi energy 5.27 states/eV/cell, uncorrected formation energy 0.234 eV per atom, calculated total energy -24.8 eV for the cell shown. Number 20: DOS at the Fermi energy 5.71 states/eV/cell, uncorrected formation energy 0.260 eV per atom, calculated total energy -25.7 eV for the cell shown.